# GGA-PBE TbPr2Ag2Ge2, relaxed
data_TbPr2Ag2Ge2
_space_group_name_H-M_alt 'R -3 m'
_space_group_IT_number 166
_space_group_name_Hall '-R 3 2"'
_cell_length_a 4.5664
_cell_length_b 4.5664
_cell_length_c 28.9018
_cell_angle_alpha 90.00
_cell_angle_beta 90.00
_cell_angle_gamma 120.00
loop_
_atom_site_label
_atom_site_fract_x
_atom_site_fract_y
_atom_site_fract_z
Tb1 0.0000 0.0000 0.0000
Pr1 0.0000 0.0000 0.1244
Ag1 0.0000 0.0000 0.3905
Ge1 0.0000 0.0000 0.2667
# * spin magnetization: 0.0000 μB per atom
# * formation enthalpy at 0 K: -41 kJ per mole of atoms

# GGA-PBE Ti2Ga2Pb, relaxed
data_Ti2Ga2Pb
_space_group_name_H-M_alt 'P 4/m b m'
_space_group_IT_number 127
_space_group_name_Hall '-P 4 2ab'
_cell_length_a 7.7175
_cell_length_b 7.7175
_cell_length_c 3.2030
_cell_angle_alpha 90.00
_cell_angle_beta 90.00
_cell_angle_gamma 90.00
loop_
_atom_site_label
_atom_site_fract_x
_atom_site_fract_y
_atom_site_fract_z
Ti1 0.1231 0.3769 0.0000
Ga1 0.1760 0.6760 0.5000
Pb1 0.0000 0.0000 0.0000
# * spin magnetization: 0.0699 μB per atom
# * formation enthalpy at 0 K: -8 kJ per mole of atoms
# * energy above the most stable polymorph in this dataset: 0.00 eV per formula unit

# GGA-PBE LaPrTl2S4, relaxed
data_LaPrTl2S4
_space_group_name_H-M_alt 'P 1 2/m 1'
_space_group_IT_number 10
_space_group_name_Hall '-P 2y'
_cell_length_a 7.3633
_cell_length_b 4.2513
_cell_length_c 7.8567
_cell_angle_alpha 90.00
_cell_angle_beta 108.18
_cell_angle_gamma 90.00
loop_
_atom_site_label
_atom_site_fract_x
_atom_site_fract_y
_atom_site_fract_z
La1 0.0000 0.0000 0.0000
Pr1 0.5000 0.5000 0.0000
Tl1 0.0000 0.5000 0.5000
Tl2 0.5000 0.0000 0.5000
S1 0.2367 0.5000 0.2050
S2 0.2667 0.0000 0.7947
# * spin magnetization: 0.0000 μB per atom
# * formation energy from raw total energies: -1148 kJ/mol of formula units

# GGA-PBE AcInRu, relaxed
data_AcInRu
_space_group_name_H-M_alt 'I 4 m m'
_space_group_IT_number 107
_space_group_name_Hall 'I 4 -2'
_cell_length_a 3.5010
_cell_length_b 3.5010
_cell_length_c 12.1368
_cell_angle_alpha 90.00
_cell_angle_beta 90.00
_cell_angle_gamma 90.00
loop_
_atom_site_label
_atom_site_fract_x
_atom_site_fract_y
_atom_site_fract_z
Ac1 0.0000 0.0000 0.0000
In1 0.0000 0.0000 0.2759
Ru1 0.0000 0.0000 0.6617
# * spin magnetization: 0.0000 μB per atom
# * formation enthalpy at 0 K: -7 kJ per mole of atoms
# * energy above the most stable polymorph in this dataset: 0.61 eV per formula unit

# GGA-PBE La2Zn2Pt15, relaxed
data_La2Zn2Pt15
_space_group_name_H-M_alt 'R -3 m'
_space_group_IT_number 166
_space_group_name_Hall '-R 3 2"'
_cell_length_a 9.3264
_cell_length_b 9.3264
_cell_length_c 13.4927
_cell_angle_alpha 90.00
_cell_angle_beta 90.00
_cell_angle_gamma 120.00
loop_
_atom_site_label
_atom_site_fract_x
_atom_site_fract_y
_atom_site_fract_z
La1 0.0000 0.0000 0.1552
Zn1 0.0000 0.0000 0.4048
Pt1 0.0000 0.3104 0.5000
Pt2 0.0000 0.5000 0.0000
Pt3 0.0009 0.5005 0.3428
# * spin magnetization: 0.0000 μB per atom
# * formation enthalpy at 0 K: -51 kJ per mole of atoms

# GGA-PBE GePd2I2, relaxed
data_GePd2I2
_space_group_name_H-M_alt 'I 4/m m m'
_space_group_IT_number 139
_space_group_name_Hall '-I 4 2'
_cell_length_a 5.8341
_cell_length_b 5.8341
_cell_length_c 9.5589
_cell_angle_alpha 90.00
_cell_angle_beta 90.00
_cell_angle_gamma 90.00
loop_
_atom_site_label
_atom_site_fract_x
_atom_site_fract_y
_atom_site_fract_z
Ge1 0.0000 0.0000 0.0000
Pd1 0.0000 0.0000 0.2391
I1 0.0000 0.5000 0.2500
# * spin magnetization: 0.0000 μB per atom
# * energy above the most stable polymorph in this dataset: 0.27 eV per formula unit
# * formation energy from raw total energies: 51 kJ/mol of formula units

# GGA-PBE CaBe3Br, relaxed
data_CaBe3Br
_space_group_name_H-M_alt 'P m -3 m'
_space_group_IT_number 221
_space_group_name_Hall '-P 4 2 3'
_cell_length_a 4.6866
_cell_length_b 4.6866
_cell_length_c 4.6866
_cell_angle_alpha 90.00
_cell_angle_beta 90.00
_cell_angle_gamma 90.00
loop_
_atom_site_label
_atom_site_fract_x
_atom_site_fract_y
_atom_site_fract_z
Ca1 0.0000 0.0000 0.0000
Be1 0.0000 0.5000 0.5000
Br1 0.5000 0.5000 0.5000
# * spin magnetization: 0.0000 μB per atom
# * energy above the most stable polymorph in this dataset: 0.00 eV per formula unit
# * formation energy from raw total energies: 558 kJ/mol of formula units

# GGA-PBE LaNbP2Cl, relaxed
data_LaNbP2Cl
_space_group_name_H-M_alt 'P 4/m m m'
_space_group_IT_number 123
_space_group_name_Hall '-P 4 2'
_cell_length_a 4.7217
_cell_length_b 4.7217
_cell_length_c 5.9396
_cell_angle_alpha 90.00
_cell_angle_beta 90.00
_cell_angle_gamma 90.00
loop_
_atom_site_label
_atom_site_fract_x
_atom_site_fract_y
_atom_site_fract_z
La1 0.0000 0.0000 0.0000
Nb1 0.0000 0.0000 0.5000
P1 0.0000 0.5000 0.5000
Cl1 0.5000 0.5000 0.0000
# * spin magnetization: 0.0000 μB per atom
# * energy above the most stable polymorph in this dataset: 1.59 eV per formula unit
# * formation energy from raw total energies: -222 kJ/mol of formula units

# GGA-PBE HgBr2, relaxed
data_HgBr2
_space_group_name_H-M_alt 'C m c m'
_space_group_IT_number 63
_space_group_name_Hall '-C 2c 2'
_cell_length_a 4.0131
_cell_length_b 17.4834
_cell_length_c 6.3424
_cell_angle_alpha 90.00
_cell_angle_beta 90.00
_cell_angle_gamma 90.00
loop_
_atom_site_label
_atom_site_fract_x
_atom_site_fract_y
_atom_site_fract_z
Hg1 0.0000 0.1811 0.2500
Br1 0.0000 0.2033 0.7500
Br2 0.0000 0.4224 0.7500
# * spin magnetization: 0.0000 μB per atom
# * formation energy from raw total energies: -113 kJ/mol of formula units